w | Cr3HgPb | PBE-GGA | relaxed

V: 153.20 Å³ per cell
Spin magnetization: 14.0 μB per formula unit

a = 5.3508 Å, b = 5.3508 Å, c = 5.3508 Å
α = 90.00°, β = 90.00°, γ = 90.00°
Positions (direct):
Pb  0.0000  0.0000  0.0000
Cr  0.0000  0.5000  0.0000
Cr  0.0000  0.0000  0.5000
Cr  0.5000  0.0000  0.0000
Hg  0.5000  0.5000  0.5000



x | Cr3HgPb | PBE-GGA | relaxed

V: 137.14 Å³ per cell
Spin magnetization: 13.2 μB per formula unit

a = 5.1569 Å, b = 5.1569 Å, c = 5.1569 Å
α = 90.00°, β = 90.00°, γ = 90.00°
Positions (direct):
Pb  0.5000  0.5000  0.5000
Cr  0.0000  0.5000  0.0000
Cr  0.0000  0.0000  0.5000
Cr  0.5000  0.0000  0.0000
Hg  0.0000  0.0000  0.0000



Structures ranked by computed energy, the most stable listed first: x, w.



w | CrHg2Pd | PBE-GGA | relaxed

V: 73.43 Å³ per cell
Spin magnetization: 3.9 μB per formula unit

a = 4.7003 Å, b = 4.7003 Å, c = 4.7003 Å
α = 60.00°, β = 60.00°, γ = 60.00°
Positions (direct):
Cr  0.0000  0.0000  0.0000
Hg  0.2500  0.2500  0.2500
Hg  0.7500  0.7500  0.7500
Pd  0.5000  0.5000  0.5000



x | CrHg2Pd | PBE-GGA | relaxed

V: 165.79 Å³ per cell
Spin magnetization: 4.4 μB per formula unit

a = 7.5653 Å, b = 7.5653 Å, c = 6.0834 Å
α = 51.55°, β = 51.55°, γ = 90.00°
Positions (direct):
Cr  0.5000  0.5000  0.0000
Cr  0.2500  0.7500  0.5000
Hg  0.6295  0.1250  0.2500
Hg  0.1205  0.6250  0.2500
Hg  0.3750  0.3705  0.7500
Hg  0.8750  0.8795  0.7500
Pd  0.0000  0.0000  0.0000
Pd  0.7500  0.2500  0.5000



Structures ranked by computed energy, the most stable listed first: w, x.



w | CrHg2Pt | PBE-GGA | relaxed

V: 73.57 Å³ per cell
Spin magnetization: 4.0 μB per formula unit

a = 3.9325 Å, b = 3.1187 Å, c = 6.7660 Å
α = 62.45°, β = 90.00°, γ = 90.00°
Positions (direct):
Cr  0.5000  0.7500  0.7500
Hg  0.0000  0.0010  0.9994
Hg  0.0000  0.4990  0.5006
Pt  0.5000  0.2500  0.2500



x | CrHg2Pt | PBE-GGA | relaxed

V: 75.61 Å³ per cell
Spin magnetization: 3.8 μB per formula unit

a = 5.8538 Å, b = 5.8538 Å, c = 5.8538 Å
α = 150.01°, β = 130.55°, γ = 58.92°
Positions (direct):
Cr  0.2678  0.7678  0.5000
Hg  0.0205  0.0205  0.0000
Hg  0.7365  0.2365  0.5000
Pt  0.4752  0.4752  0.0000



y | CrHg2Pt | PBE-GGA | relaxed

V: 76.70 Å³ per cell
Spin magnetization: 4.3 μB per formula unit

a = 5.6595 Å, b = 5.6595 Å, c = 3.1552 Å
α = 74.32°, β = 74.32°, γ = 117.33°
Positions (direct):
Cr  0.0000  0.5000  0.5000
Hg  0.0000  0.0000  0.0000
Hg  0.5000  0.5000  0.0000
Pt  0.5000  0.0000  0.5000



z | CrHg2Pt | PBE-GGA | relaxed

V: 73.75 Å³ per cell
Spin magnetization: 3.9 μB per formula unit

a = 3.1335 Å, b = 3.1335 Å, c = 7.5112 Å
α = 90.00°, β = 90.00°, γ = 90.00°
Positions (direct):
Cr  0.5000  0.5000  0.7500
Hg  0.0000  0.0000  0.9992
Hg  0.0000  0.0000  0.5008
Pt  0.5000  0.5000  0.2500



Structures ranked by computed energy, the most stable listed first: w, x, z, y.



w | CrHg3Pt | PBE-GGA | relaxed

V: 145.27 Å³ per cell
Spin magnetization: 5.4 μB per formula unit

a = 5.2569 Å, b = 5.2569 Å, c = 5.2569 Å
α = 90.00°, β = 90.00°, γ = 90.00°
Positions (direct):
Cr  0.5000  0.5000  0.5000
Hg  0.0000  0.5000  0.0000
Hg  0.0000  0.0000  0.5000
Hg  0.5000  0.0000  0.0000
Pt  0.0000  0.0000  0.0000



x | CrHg3Pt | PBE-GGA | relaxed

V: 136.65 Å³ per cell
Spin magnetization: 4.1 μB per formula unit

a = 5.1508 Å, b = 5.1508 Å, c = 5.1508 Å
α = 90.00°, β = 90.00°, γ = 90.00°
Positions (direct):
Cr  0.0000  0.0000  0.0000
Hg  0.0000  0.5000  0.0000
Hg  0.0000  0.0000  0.5000
Hg  0.5000  0.0000  0.0000
Pt  0.5000  0.5000  0.5000



Structures ranked by computed energy, the most stable listed first: w, x.



w | Rb2Cr2Hg | PBE-GGA | relaxed

V: 136.33 Å³ per cell
Spin magnetization: 0.0 μB per formula unit

a = 3.2876 Å, b = 3.2876 Å, c = 12.8260 Å
α = 82.64°, β = 82.64°, γ = 90.00°
Positions (direct):
Cr  0.7500  0.2500  0.5000
Cr  0.2500  0.7500  0.5000
Hg  0.0000  0.0000  0.0000
Rb  0.3808  0.3808  0.2384
Rb  0.6192  0.6192  0.7616



x | Rb2Cr2Hg | PBE-GGA | relaxed

V: 414.64 Å³ per cell
Spin magnetization: 10.4 μB per formula unit

a = 10.8869 Å, b = 10.8869 Å, c = 3.4984 Å
α = 90.00°, β = 90.00°, γ = 90.00°
Positions (direct):
Cr  0.0946  0.5946  0.5000
Cr  0.5946  0.9054  0.5000
Cr  0.9054  0.4054  0.5000
Cr  0.4054  0.0946  0.5000
Hg  0.0000  0.0000  0.0000
Hg  0.5000  0.5000  0.0000
Rb  0.3040  0.8040  0.0000
Rb  0.8040  0.6960  0.0000
Rb  0.6960  0.1960  0.0000
Rb  0.1960  0.3040  0.0000



Structures ranked by computed energy, the most stable listed first: w, x.



w | Cr3ReHg | PBE-GGA | relaxed

V: 104.08 Å³ per cell
Spin magnetization: 8.4 μB per formula unit

a = 4.7039 Å, b = 4.7039 Å, c = 4.7039 Å
α = 90.00°, β = 90.00°, γ = 90.00°
Positions (direct):
Re  0.0000  0.0000  0.0000
Hg  0.5000  0.5000  0.5000
Cr  0.0000  0.5000  0.0000
Cr  0.0000  0.0000  0.5000
Cr  0.5000  0.0000  0.0000



x | Cr3ReHg | PBE-GGA | relaxed

V: 120.66 Å³ per cell
Spin magnetization: 8.8 μB per formula unit

a = 4.9414 Å, b = 4.9414 Å, c = 4.9414 Å
α = 90.00°, β = 90.00°, γ = 90.00°
Positions (direct):
Re  0.5000  0.5000  0.5000
Hg  0.0000  0.0000  0.0000
Cr  0.0000  0.5000  0.0000
Cr  0.0000  0.0000  0.5000
Cr  0.5000  0.0000  0.0000



Structures ranked by computed energy, the most stable listed first: w, x.